Here is Fe2O3 after structural relaxation from Alexandria. Energies are from PBE with a Hubbard U.

```
Fe2O3
1.0
-4.7750 4.7750 4.7750
4.7750 -4.7750 4.7750
4.7750 4.7750 -4.7750
Fe O
16 24
direct
0.0000 0.0000 0.0000
0.0000 0.5000 0.5000
0.0379 0.7879 0.2500
0.2121 0.7500 0.9621
0.2500 0.0379 0.7879
0.2500 0.5379 0.2879
0.2879 0.2500 0.5379
0.4621 0.7121 0.7500
0.5000 0.0000 0.5000
0.5000 0.5000 0.0000
0.5379 0.2879 0.2500
0.7121 0.7500 0.4621
0.7500 0.4621 0.7121
0.7500 0.9621 0.2121
0.7879 0.2500 0.0379
0.9621 0.2121 0.7500
0.0071 0.4595 0.7334
0.0405 0.0476 0.2740
0.0476 0.2740 0.0405
0.2260 0.2737 0.7666
0.2263 0.4524 0.4929
0.2334 0.7740 0.7263
0.2666 0.9929 0.5405
0.2740 0.0405 0.0476
0.2737 0.7666 0.2260
0.4524 0.4929 0.2263
0.4595 0.7334 0.0071
0.4929 0.2263 0.4524
0.5071 0.7737 0.5476
0.5405 0.2666 0.9929
0.5476 0.5071 0.7737
0.7263 0.2334 0.7740
0.7260 0.9595 0.9524
0.7334 0.0071 0.4595
0.7666 0.2260 0.2737
0.7737 0.5476 0.5071
0.7740 0.7263 0.2334
0.9524 0.7260 0.9595
0.9595 0.9524 0.7260
0.9929 0.5405 0.2666
```

## Properties
The symmetry is Ia-3 (206). For the total energy, the calculation gives -6.675 eV/atom. The total magnetization comes out at 10.00 μB per formula unit.